Below is Cr3As2 after structural relaxation, with properties calculated at the PBE level.

Values from the calculation:
total magnetic moment = 1.12 μB per formula unit
ΔH_f (0 K) = 0.251 eV/atom
mass density = 7.20 g/cm3

abc: 9.599 9.599 9.599
angles: 17.59 17.59 17.59
Fractional coordinates of all 5 atoms:
Cr 0.000 0.000 0.000
Cr 0.193 0.193 0.193
Cr 0.807 0.807 0.807
As 0.398 0.398 0.398
As 0.602 0.602 0.602